First-principles (GGA-PBE) data for Ac4Y5Er after structural relaxation, as listed in Alexandria.

Structure (POSCAR):
```
Ac4Y5Er
1.0
8.173 -2.927 0.000
8.173 2.927 0.000
-6.702 0.000 8.119
Ac Y Er
4 5 1
Direct
0.249 0.249 0.380
0.250 0.250 0.859
0.750 0.750 0.141
0.751 0.751 0.620
0.000 0.000 0.500
0.052 0.052 0.897
0.449 0.449 0.292
0.551 0.551 0.708
0.948 0.948 0.103
0.500 0.500 0.000
```

Summary:
Total DFT energy (no corrections) (eV per atom): -5.099
Total magnetization (μB per cell): 0.00

=====

First-principles (GGA-PBE) data for Ac2YEr after structural relaxation, as listed in Alexandria.

Structure (POSCAR):
```
Ac2YEr
1.0
3.733 -12.187 0.000
3.733 12.187 0.000
-0.016 0.000 13.462
Ac Y Er
16 8 8
Direct
0.022 0.978 0.750
0.023 0.477 0.751
0.248 0.249 0.000
0.249 0.248 0.500
0.249 0.750 0.001
0.250 0.751 0.499
0.476 0.524 0.250
0.477 0.023 0.251
0.523 0.977 0.749
0.524 0.476 0.750
0.750 0.249 0.501
0.751 0.250 0.999
0.751 0.752 0.500
0.752 0.751 0.000
0.977 0.523 0.249
0.978 0.022 0.250
0.113 0.384 0.385
0.384 0.113 0.885
0.385 0.613 0.887
0.387 0.615 0.613
0.613 0.385 0.387
0.615 0.387 0.113
0.616 0.887 0.115
0.887 0.616 0.615
0.114 0.385 0.112
0.114 0.885 0.113
0.115 0.886 0.387
0.385 0.114 0.612
0.615 0.886 0.388
0.885 0.114 0.613
0.886 0.115 0.887
0.886 0.615 0.888
```

Summary:
Total magnetization (μB per cell): 0.00
Polymorph energy (0 for the lowest one) (meV/atom): 85

=====

First-principles (GGA-PBE) data for Ac3Y6Er2 after structural relaxation, as listed in Alexandria.

Structure (POSCAR):
```
Ac3Y6Er2
1.0
7.799 -4.626 0.000
7.799 4.626 0.000
-6.749 0.000 10.823
Ac Y Er
6 12 4
Direct
0.112 0.888 0.750
0.401 0.459 0.831
0.459 0.401 0.331
0.541 0.599 0.669
0.599 0.541 0.169
0.888 0.112 0.250
0.038 0.366 0.181
0.101 0.658 0.124
0.213 0.352 0.495
0.342 0.899 0.376
0.352 0.213 0.995
0.366 0.038 0.681
0.634 0.962 0.319
0.648 0.787 0.005
0.658 0.101 0.624
0.787 0.648 0.505
0.899 0.342 0.876
0.962 0.634 0.819
0.083 0.765 0.433
0.235 0.917 0.067
0.765 0.083 0.933
0.917 0.235 0.567
```

Summary:
Total DFT energy (no corrections) (eV per atom): -5.317
Total magnetization (μB per cell): 0.00

=====

First-principles (GGA-PBE) data for AcYEr2 after structural relaxation, as listed in Alexandria.

Structure (POSCAR):
```
AcYEr2
1.0
1.839 1.062 11.746
-1.839 1.062 11.746
0.000 -2.124 11.746
Ac Y Er
1 1 2
Direct
0.000 0.000 0.000
0.166 0.166 0.166
0.579 0.579 0.579
0.753 0.753 0.753
```

Summary:
Total magnetization (μB per cell): 0.00
Polymorph energy (0 for the lowest one) (meV/atom): 9

=====

First-principles (GGA-PBE) data for AcYEr2 after structural relaxation, as listed in Alexandria.

Structure (POSCAR):
```
AcYEr2
1.0
4.144 0.000 0.000
0.000 4.144 0.000
0.000 0.000 8.110
Ac Y Er
1 1 2
Direct
0.000 0.000 0.000
0.000 0.000 0.500
0.500 0.500 0.275
0.500 0.500 0.725
```

Summary:
Total magnetization (μB per cell): 0.00
Polymorph energy (0 for the lowest one) (meV/atom): 39

=====

First-principles (GGA-PBE) data for Ac6YEr2 after structural relaxation, as listed in Alexandria.

Structure (POSCAR):
```
Ac6YEr2
1.0
4.927 -6.275 0.000
4.927 6.275 0.000
-2.607 0.000 11.919
Ac Y Er
12 2 4
Direct
0.084 0.527 0.226
0.177 0.711 0.549
0.271 0.318 0.962
0.289 0.823 0.951
0.318 0.271 0.462
0.473 0.916 0.274
0.527 0.084 0.726
0.682 0.729 0.538
0.711 0.177 0.049
0.729 0.682 0.038
0.823 0.289 0.451
0.916 0.473 0.774
0.460 0.540 0.750
0.540 0.460 0.250
0.074 0.115 0.657
0.115 0.074 0.157
0.885 0.926 0.843
0.926 0.885 0.343
```

Summary:
Total DFT energy (no corrections) (eV per atom): -4.322
Total magnetization (μB per cell): 0.00